1.
VASP calculation (SCAN) on Fe2Co5 at its PBEsol-relaxed geometry.

POSCAR file:
```
Fe2Co5
1.0
2.4175 0.0000 0.0000
0.9768 5.7960 0.0000
1.1364 2.7380 5.3269
Fe Co
2 5
direct
0.1304 0.2144 0.4273
0.8696 0.7856 0.5727
0.0000 0.5000 0.0000
0.3251 0.9370 0.8569
0.3572 0.6379 0.2863
0.6428 0.3621 0.7137
0.6749 0.0630 0.1431
```

Calculated values
E above lowest polymorph	88.7	meV per atom
total DFT energy (no corrections)	-17.568	eV per atom
ρ	9.040	g/cm³
energy relative to the elements	-0.0281	eV per atom
magnetization	14.47	μB/f.u.
symmetry	P-1

=====

2.
VASP calculation (SCAN) on FeCo7 at its PBEsol-relaxed geometry.

POSCAR file:
```
FeCo7
1.0
2.4584 0.0000 0.0000
0.0000 3.4595 0.0000
-0.0232 0.0000 9.8423
Fe Co
1 7
direct
0.0000 0.0000 0.0000
0.9999 0.0000 0.2517
0.0000 0.0000 0.5000
0.0001 0.0000 0.7483
0.4996 0.5000 0.1285
0.5000 0.5000 0.3756
0.5000 0.5000 0.6244
0.5004 0.5000 0.8715
```

Calculated values
E above lowest polymorph	47.0	meV per atom
total DFT energy (no corrections)	-17.412	eV per atom
ρ	9.291	g/cm³
energy relative to the elements	-0.0050	eV per atom
magnetization	15.16	μB/f.u.
symmetry	P2/m

=====

3.
VASP calculation (SCAN) on Fe5Co3 at its PBEsol-relaxed geometry.

POSCAR file:
```
Fe5Co3
1.0
2.4261 0.0000 0.0000
0.0000 3.9459 0.0000
-0.7542 0.0000 9.1130
Fe Co
5 3
direct
0.0000 0.0000 0.0000
0.1148 0.5000 0.3746
0.3732 0.5000 0.1246
0.4961 0.0000 0.5018
0.6233 0.5000 0.8729
0.2571 0.0000 0.7509
0.7471 0.0000 0.2508
0.8590 0.5000 0.6233
```

Calculated values
E above lowest polymorph	81.4	meV per atom
total DFT energy (no corrections)	-17.943	eV per atom
ρ	8.680	g/cm³
energy relative to the elements	-0.1225	eV per atom
magnetization	18.83	μB/f.u.
symmetry	Pm

=====

4.
VASP calculation (SCAN) on Fe2Co5 at its PBEsol-relaxed geometry.

POSCAR file:
```
Fe2Co5
1.0
-1.4077 1.4077 9.4641
1.4077 -1.4077 9.4641
1.4077 1.4077 -9.4641
Fe Co
2 5
direct
0.2123 0.2123 0.0000
0.7877 0.7877 0.0000
0.0682 0.0682 0.0000
0.3592 0.3592 0.0000
0.5000 0.5000 0.0000
0.6408 0.6408 0.0000
0.9318 0.9318 0.0000
```

Calculated values
E above lowest polymorph	50.9	meV per atom
total DFT energy (no corrections)	-17.606	eV per atom
ρ	8.995	g/cm³
energy relative to the elements	-0.0659	eV per atom
magnetization	14.77	μB/f.u.
symmetry	I4/mmm

=====

5.
VASP calculation (SCAN) on Fe7Co at its PBEsol-relaxed geometry.

POSCAR file:
```
Fe7Co
1.0
-2.7862 2.7862 2.7862
2.7862 -2.7862 2.7862
2.7862 2.7862 -2.7862
Fe Co
7 1
direct
0.0000 0.0000 0.5000
0.0000 0.5000 0.0000
0.0000 0.5000 0.5000
0.5000 0.0000 0.0000
0.5000 0.0000 0.5000
0.5000 0.5000 0.0000
0.5000 0.5000 0.5000
0.0000 0.0000 0.0000
```

Calculated values
E above lowest polymorph	4.7	meV per atom
total DFT energy (no corrections)	-18.099	eV per atom
ρ	8.634	g/cm³
energy relative to the elements	-0.0729	eV per atom
magnetization	19.27	μB/f.u.
symmetry	Im-3m

=====

6.
VASP calculation (SCAN) on Fe5Co3 at its PBEsol-relaxed geometry.

POSCAR file:
```
Fe5Co3
1.0
2.7896 0.0000 0.0000
0.0000 2.7896 0.0000
0.0000 0.0000 11.1981
Fe Co
5 3
direct
0.0000 0.0000 0.0000
0.0000 0.0000 0.2505
0.0000 0.0000 0.7493
0.5000 0.5000 0.1273
0.5000 0.5000 0.3789
0.0000 0.0000 0.4992
0.5000 0.5000 0.6292
0.5000 0.5000 0.8757
```

Calculated values
E above lowest polymorph	65.1	meV per atom
total DFT energy (no corrections)	-17.959	eV per atom
ρ	8.690	g/cm³
energy relative to the elements	-0.1387	eV per atom
magnetization	18.61	μB/f.u.
symmetry	P4mm

=====

7.
VASP calculation (SCAN) on Fe5Co2 at its PBEsol-relaxed geometry.

POSCAR file:
```
Fe5Co2
1.0
2.4305 0.0000 0.0000
-0.8028 6.0288 0.0000
-0.8074 -3.0043 5.2298
Fe Co
5 2
direct
0.0000 0.0000 0.0000
0.1447 0.5716 0.8575
0.4292 0.7156 0.5714
0.5708 0.2844 0.4286
0.8553 0.4284 0.1425
0.2887 0.1433 0.7149
0.7113 0.8567 0.2851
```

Calculated values
E above lowest polymorph	40.9	meV per atom
total DFT energy (no corrections)	-18.013	eV per atom
ρ	8.604	g/cm³
energy relative to the elements	-0.1188	eV per atom
magnetization	16.69	μB/f.u.
symmetry	P-1

=====

8.
VASP calculation (SCAN) on Fe5Co3 at its PBEsol-relaxed geometry.

POSCAR file:
```
Fe5Co3
1.0
-1.9693 1.9788 5.6090
1.9693 -1.9788 5.6090
1.9693 1.9788 -5.6090
Fe Co
5 3
direct
0.0000 0.0000 0.0000
0.2500 0.2500 0.0000
0.3765 0.8765 0.5000
0.6235 0.1235 0.5000
0.7500 0.7500 0.0000
0.1257 0.6257 0.5000
0.5000 0.5000 0.0000
0.8743 0.3743 0.5000
```

Calculated values
E above lowest polymorph	70.0	meV per atom
total DFT energy (no corrections)	-17.954	eV per atom
ρ	8.661	g/cm³
energy relative to the elements	-0.1339	eV per atom
magnetization	18.92	μB/f.u.
symmetry	Immm